Na2CeCrF8 after structural relaxation. Source: the Alexandria database, functional PBE+U.

Calculated values
Crystal system: triclinic
Raw total energy: -5.6233 eV/atom
Theoretical density: 3.4 g/cm³
N(E_F): 5.468 states/eV/cell

Lattice parameters (Å, degrees): 5.282 5.786 6.671 77.41 74.51 78.37
Fractional coordinates of all 12 atoms:
Na (0.087, 0.084, 0.199)
Na (0.913, 0.916, 0.801)
Ce (0.500, 0.500, 0.500)
Cr (0.500, 0.500, 0.000)
F (0.234, 0.842, 0.491)
F (0.262, 0.801, 0.980)
F (0.276, 0.387, 0.281)
F (0.294, 0.369, 0.855)
F (0.706, 0.631, 0.145)
F (0.724, 0.613, 0.719)
F (0.738, 0.199, 0.020)
F (0.766, 0.158, 0.509)